No. 1
Tl3AgH2F6 | PBE | optimized geometry

Cell: 5.821 5.821 6.930 Å, 90.00 90.00 120.00°
Fractional coordinates of all 12 atoms:
1 H 0.667 0.333 0.724
2 H 0.333 0.667 0.276
3 Tl 0.333 0.667 0.684
4 Tl 0.000 0.000 0.000
5 Tl 0.667 0.333 0.316
6 F 0.197 0.803 0.282
7 F 0.197 0.393 0.282
8 F 0.803 0.197 0.718
9 F 0.803 0.607 0.718
10 F 0.393 0.197 0.718
11 F 0.607 0.803 0.282
12 Ag 0.000 0.000 0.500

- E: -0.1379 hartree per atom
- Size of the total moment: 0.0 Bohr magnetons per cell

---

No. 2
YMgOs2 | PBE | optimized geometry

Cell: 5.042 5.042 5.042 Å, 130.96 130.96 71.87°
Fractional coordinates of all 4 atoms:
1 Y 0.250 0.750 0.500
2 Os 0.500 0.500 0.000
3 Os 0.000 0.000 0.000
4 Mg 0.750 0.250 0.500

- E: -0.2672 hartree per atom
- Size of the total moment: 0.0 Bohr magnetons per cell

---

No. 3
SrPHRh2 | PBE | optimized geometry

Cell: 3.833 5.855 7.111 Å, 90.00 90.00 109.11°
Fractional coordinates of all 10 atoms:
1 Rh 0.833 0.665 0.055
2 Rh 0.167 0.335 0.555
3 Rh 0.833 0.665 0.445
4 Rh 0.167 0.335 0.945
5 Sr 0.450 0.899 0.750
6 Sr 0.550 0.101 0.250
7 P 0.722 0.445 0.750
8 P 0.278 0.555 0.250
9 H 0.000 0.000 0.500
10 H 0.000 0.000 0.000

- E: -0.2101 hartree per atom
- Size of the total moment: 0.0 Bohr magnetons per cell

---

No. 4
CsH6Br2O2 | PBE | optimized geometry

Cell: 5.710 7.586 6.341 Å, 97.04 77.29 53.08°
Fractional coordinates of all 11 atoms:
1 Cs 0.500 0.000 0.500
2 H 0.087 0.838 0.633
3 H 0.997 0.703 0.790
4 H 0.689 0.306 0.212
5 H 0.913 0.162 0.367
6 H 0.003 0.297 0.210
7 H 0.311 0.694 0.788
8 O 0.174 0.700 0.700
9 O 0.826 0.300 0.300
10 Br 0.650 0.672 0.898
11 Br 0.350 0.328 0.102

- E: -0.1393 hartree per atom
- Size of the total moment: 0.0 Bohr magnetons per cell

---

No. 5
ScZnFe2 | PBE | optimized geometry

Cell: 6.929 6.929 5.559 Å, 51.44 51.44 90.00°
Site moments in Bohr magnetons follow the coordinates.
Fractional coordinates of all 8 atoms:
1 Zn 0.000 0.000 0.000  -0.07
2 Zn 0.750 0.250 0.500  -0.07
3 Sc 0.500 0.500 0.000  -0.39
4 Sc 0.250 0.750 0.500  -0.40
5 Fe 0.648 0.125 0.250  2.30
6 Fe 0.102 0.625 0.250  2.33
7 Fe 0.375 0.352 0.750  2.29
8 Fe 0.875 0.898 0.750  2.31

- E: -0.2124 hartree per atom
- Size of the total moment: 7.9 Bohr magnetons per cell

---

No. 6
La2Nd4Bi3N2 | PBE | optimized geometry

Cell: 4.898 4.898 13.849 Å, 100.19 100.19 90.00°
Fractional coordinates of all 11 atoms:
1 N 0.396 0.396 0.791
2 N 0.604 0.604 0.209
3 Nd 0.417 0.917 0.835
4 Nd 0.917 0.417 0.835
5 Nd 0.083 0.583 0.165
6 Nd 0.583 0.083 0.165
7 La 0.310 0.310 0.620
8 La 0.690 0.690 0.380
9 Bi 0.177 0.177 0.355
10 Bi 0.823 0.823 0.645
11 Bi 0.000 0.000 0.000

- E: -0.2302 hartree per atom
- Uncorrected formation energy: -1063 meV/atom
- Size of the total moment: 0.0 Bohr magnetons per cell

---

No. 7
Ta2SiCl | PBE | optimized geometry

Cell: 4.491 4.491 4.491 Å, 60.00 60.00 60.00°
Fractional coordinates of all 4 atoms:
1 Si 0.000 0.000 0.000
2 Cl 0.500 0.500 0.500
3 Ta 0.250 0.250 0.250
4 Ta 0.750 0.750 0.750

- Energy above the most stable polymorph in this dataset: 24.7 kJ per mole of atoms
- E: -0.2785 hartree per atom
- Uncorrected formation energy: 165 meV/atom
- Size of the total moment: 0.0 Bohr magnetons per cell

---

No. 8
MgGeRh3 | PBE | optimized geometry

Cell: 4.478 4.478 4.478 Å, 90.00 90.00 90.00°
Fractional coordinates of all 5 atoms:
1 Rh 0.000 0.000 0.500
2 Rh 0.500 0.000 0.000
3 Rh 0.000 0.500 0.000
4 Ge 0.500 0.500 0.500
5 Mg 0.000 0.000 0.000

- Energy above the most stable polymorph in this dataset: 126.0 kJ per mole of atoms
- E: -0.1728 hartree per atom
- Size of the total moment: 0.0 Bohr magnetons per cell

---

No. 9
YPuB4 | PBE | optimized geometry

Cell: 3.978 6.181 11.961 Å, 90.00 90.00 90.00°
Site moments in Bohr magnetons follow the coordinates.
Fractional coordinates of all 24 atoms:
1 B 0.500 0.793 0.187  -0.01
2 B 0.500 0.967 0.304  0.01
3 B 0.500 0.293 0.313  -0.01
4 B 0.500 0.467 0.196  0.01
5 B 0.500 0.033 0.696  0.01
6 B 0.500 0.128 0.972  0.00
7 B 0.500 0.867 0.444  -0.07
8 B 0.500 0.633 0.944  -0.07
9 B 0.500 0.133 0.556  -0.07
10 B 0.500 0.533 0.804  0.01
11 B 0.500 0.628 0.528  0.00
12 B 0.500 0.872 0.028  0.00
13 B 0.500 0.367 0.056  -0.07
14 B 0.500 0.372 0.472  0.00
15 B 0.500 0.207 0.813  -0.01
16 B 0.500 0.707 0.687  -0.01
17 Pu 0.000 0.126 0.419  4.44
18 Pu 0.000 0.874 0.581  4.44
19 Pu 0.000 0.374 0.919  4.44
20 Pu 0.000 0.626 0.081  4.44
21 Y 0.000 0.884 0.843  0.16
22 Y 0.000 0.384 0.657  0.16
23 Y 0.000 0.116 0.157  0.16
24 Y 0.000 0.616 0.343  0.16

- E: -0.2996 hartree per atom
- Size of the total moment: 19.0 Bohr magnetons per cell

---

No. 10
UBi3Pd12 | PBE | optimized geometry

Cell: 4.151 4.151 16.505 Å, 90.00 90.00 90.00°
Site moments in Bohr magnetons follow the coordinates.
Fractional coordinates of all 16 atoms:
1 Pd 0.500 0.500 0.000  -0.04
2 Pd 0.000 0.500 0.625  0.02
3 Pd 0.000 0.500 0.375  0.02
4 Pd 0.000 0.500 0.881  -0.02
5 Pd 0.500 0.000 0.881  -0.02
6 Pd 0.500 0.000 0.375  0.02
7 Pd 0.500 0.500 0.248  0.03
8 Pd 0.500 0.500 0.500  0.03
9 Pd 0.500 0.000 0.625  0.02
10 Pd 0.500 0.500 0.752  0.03
11 Pd 0.500 0.000 0.119  -0.02
12 Pd 0.000 0.500 0.119  -0.02
13 Bi 0.000 0.000 0.253  0.02
14 Bi 0.000 0.000 0.500  0.01
15 Bi 0.000 0.000 0.747  0.02
16 U 0.000 0.000 0.000  1.71

- E: -0.2072 hartree per atom
- Size of the total moment: 1.9 Bohr magnetons per cell

---

No. 11
TcSbIr2 | PBE | optimized geometry

Cell: 8.836 8.836 8.836 Å, 19.16 19.16 19.16°
Fractional coordinates of all 4 atoms:
1 Tc 0.748 0.748 0.748
2 Sb 0.500 0.500 0.500
3 Ir 0.249 0.249 0.249
4 Ir 0.003 0.003 0.003

- E: -0.2832 hartree per atom
- Uncorrected formation energy: 347 meV/atom
- Size of the total moment: 0.0 Bohr magnetons per cell

---

No. 12
K2LaP | PBE | optimized geometry

Cell: 4.492 7.548 4.491 Å, 73.26 88.19 106.75°
Fractional coordinates of all 4 atoms:
1 K 0.000 0.000 0.000
2 K 0.500 0.000 0.500
3 P 0.500 0.500 0.000
4 La 0.000 0.500 0.500

- E: -0.1170 hartree per atom
- Size of the total moment: 0.0 Bohr magnetons per cell